DFT (PBE-GGA) results for Er3In5 after structural relaxation.

a b c (Å): 6.324 6.324 10.319
angles (deg): 90.00 90.00 78.34
Element x y z (fractional)
Er: 0.117 0.883 0.750
Er: 0.296 0.296 0.000
Er: 0.296 0.296 0.500
Er: 0.704 0.704 0.000
Er: 0.704 0.704 0.500
Er: 0.883 0.117 0.250
In: 0.010 0.428 0.750
In: 0.192 0.808 0.044
In: 0.192 0.808 0.456
In: 0.428 0.010 0.250
In: 0.494 0.506 0.250
In: 0.506 0.494 0.750
In: 0.572 0.990 0.750
In: 0.808 0.192 0.544
In: 0.808 0.192 0.956
In: 0.990 0.572 0.250

Properties
As for the density: 8.84 g cm⁻³. For the calculated total energy, the calculation gives -3.85 eV per atom. As for the space group: Cmcm.

***

DFT (PBE-GGA) results for Er2In after structural relaxation.

a b c (Å): 9.314 9.314 9.314
angles (deg): 60.00 60.00 60.00
Element x y z (fractional)
Er: 0.000 0.000 0.000
Er: 0.000 0.000 0.500
Er: 0.000 0.500 0.000
Er: 0.500 0.000 0.000
In: 0.125 0.125 0.125
In: 0.875 0.875 0.875

Properties
As for the density: 2.61 g cm⁻³. For the calculated total energy, the calculation gives -2.45 eV per atom. As for the space group: Fd-3m.

***

DFT (PBE-GGA) results for ErIn after structural relaxation.

a b c (Å): 3.725 3.725 3.725
angles (deg): 90.00 90.00 90.00
Element x y z (fractional)
Er: 0.000 0.000 0.000
In: 0.500 0.500 0.500

Properties
As for the density: 9.06 g cm⁻³. For the calculated total energy, the calculation gives -4.09 eV per atom. As for the space group: Pm-3m.

***

DFT (PBE-GGA) results for Er2InIr after structural relaxation.

a b c (Å): 3.453 3.453 7.718
angles (deg): 90.00 90.00 90.00
Element x y z (fractional)
Er: 0.000 0.000 0.212
Er: 0.000 0.000 0.788
In: 0.500 0.500 0.500
Ir: 0.500 0.500 0.000

Properties
As for the density: 11.58 g cm⁻³. For the calculated total energy, the calculation gives -5.88 eV per atom. As for the space group: P4/mmm.

***

DFT (PBE-GGA) results for Er2LuIn3Ir2 after structural relaxation.

a b c (Å): 3.607 7.570 7.570
angles (deg): 119.89 90.00 90.00
Element x y z (fractional)
Er: 0.000 0.211 0.789
Er: 0.000 0.789 0.211
Lu: 0.000 0.634 0.634
In: 0.500 0.212 0.446
In: 0.500 0.446 0.212
In: 0.500 0.975 0.975
Ir: 0.500 0.545 0.876
Ir: 0.500 0.876 0.545

Properties
As for the density: 11.48 g cm⁻³. For the calculated total energy, the calculation gives -5.61 eV per atom. As for the space group: Amm2.

***

DFT (PBE-GGA) results for ErLu2In3Ir2 after structural relaxation.

a b c (Å): 3.583 7.576 7.576
angles (deg): 120.14 90.00 90.00
Element x y z (fractional)
Er: 0.000 0.000 0.000
Lu: 0.000 0.422 0.845
Lu: 0.000 0.845 0.422
In: 0.500 0.187 0.423
In: 0.500 0.423 0.187
In: 0.500 0.657 0.657
Ir: 0.500 0.089 0.754
Ir: 0.500 0.754 0.089

Properties
As for the density: 11.63 g cm⁻³. For the calculated total energy, the calculation gives -5.60 eV per atom. As for the space group: Amm2.

***

DFT (PBE-GGA) results for Er3Mg3In2Ir after structural relaxation.

a b c (Å): 7.428 7.428 4.443
angles (deg): 90.00 90.00 120.00
Element x y z (fractional)
Er: 0.000 0.612 0.000
Er: 0.388 0.388 0.000
Er: 0.612 0.000 0.000
Mg: 0.000 0.230 0.500
Mg: 0.230 0.000 0.500
Mg: 0.770 0.770 0.500
In: 0.333 0.667 0.500
In: 0.667 0.333 0.500
Ir: 0.000 0.000 0.000

Properties
As for the density: 7.79 g cm⁻³. For the calculated total energy, the calculation gives -4.07 eV per atom. As for the space group: P-62m.

***

DFT (PBE-GGA) results for NdErIn2Ir4 after structural relaxation.

a b c (Å): 4.578 4.578 8.962
angles (deg): 90.00 90.00 120.00
Element x y z (fractional)
Nd: 0.000 0.000 0.000
Er: 0.333 0.667 0.500
In: 0.667 0.333 0.254
In: 0.667 0.333 0.746
Ir: 0.000 0.000 0.357
Ir: 0.000 0.000 0.643
Ir: 0.333 0.667 0.167
Ir: 0.333 0.667 0.833

Properties
As for the density: 13.37 g cm⁻³. For the calculated total energy, the calculation gives -6.66 eV per atom. As for the space group: P-6m2.

***

DFT (PBE-GGA) results for Er3In3Ni2Ir after structural relaxation.

a b c (Å): 7.394 7.394 3.894
angles (deg): 90.00 90.00 120.00
Element x y z (fractional)
Er: 0.000 0.598 0.000
Er: 0.402 0.402 0.000
Er: 0.598 0.000 0.000
In: 0.000 0.266 0.500
In: 0.266 0.000 0.500
In: 0.734 0.734 0.500
Ni: 0.333 0.667 0.500
Ni: 0.667 0.333 0.500
Ir: 0.000 0.000 0.000

Properties
As for the density: 10.41 g cm⁻³. For the calculated total energy, the calculation gives -5.20 eV per atom. As for the space group: P-62m.

***

DFT (PBE-GGA) results for Er3In3NiIr2 after structural relaxation.

a b c (Å): 7.535 7.535 3.765
angles (deg): 90.00 90.00 120.00
Element x y z (fractional)
Er: 0.000 0.589 0.000
Er: 0.411 0.411 0.000
Er: 0.589 0.000 0.000
In: 0.000 0.250 0.500
In: 0.250 0.000 0.500
In: 0.750 0.750 0.500
Ni: 0.000 0.000 0.000
Ir: 0.333 0.667 0.500
Ir: 0.667 0.333 0.500

Properties
As for the density: 11.57 g cm⁻³. For the calculated total energy, the calculation gives -5.69 eV per atom. As for the space group: P-62m.

***

DFT (PBE-GGA) results for Er3In3IrPd2 after structural relaxation.

a b c (Å): 7.560 7.560 3.924
angles (deg): 90.00 90.00 120.00
Element x y z (fractional)
Er: 0.000 0.601 0.000
Er: 0.399 0.399 0.000
Er: 0.601 0.000 0.000
In: 0.000 0.259 0.500
In: 0.259 0.000 0.500
In: 0.741 0.741 0.500
Ir: 0.000 0.000 0.000
Pd: 0.333 0.667 0.500
Pd: 0.667 0.333 0.500

Properties
As for the density: 10.70 g cm⁻³. For the calculated total energy, the calculation gives -5.33 eV per atom. As for the space group: P-62m.

***

DFT (PBE-GGA) results for Tb2ErIn3Ir2Pd after structural relaxation.

a b c (Å): 3.877 7.602 7.602
angles (deg): 119.71 90.00 90.00
Element x y z (fractional)
Tb: 0.000 0.206 0.794
Tb: 0.000 0.794 0.206
Er: 0.000 0.386 0.386
In: 0.500 0.056 0.056
In: 0.500 0.535 0.794
In: 0.500 0.794 0.535
Ir: 0.500 0.131 0.461
Ir: 0.500 0.461 0.131
Pd: 0.000 0.794 0.794

Properties
As for the density: 11.27 g cm⁻³. For the calculated total energy, the calculation gives -5.74 eV per atom. As for the space group: Amm2.

***

Number 1: total magnetic moment 0.0 μB per cell. Number 2: total magnetic moment 0.0 μB per cell. Number 3: total magnetic moment 0.0 μB per cell. Number 4: total magnetic moment 0.0 μB per cell. Number 5: total magnetic moment 0.0 μB per cell. Number 6: total magnetic moment 0.0 μB per cell. Number 7: total magnetic moment 0.0 μB per cell. Number 8: total magnetic moment 0.4 μB per cell. Number 9: total magnetic moment 0.0 μB per cell. Number 10: total magnetic moment 0.0 μB per cell. Number 11: total magnetic moment 0.0 μB per cell. Number 12: total magnetic moment 0.0 μB per cell.